Density functional theory data (PBE) for a geometry-optimized Tb4YHo structure.

ρ, g/cm3: 7.6
E above lowest polymorph, eV per formula unit: 0.72
Formation enthalpy at 0 K, eV/atom: 0.1383

Cell: 8.650 8.650 6.466 Å, 101.28 101.28 119.02°
Atoms (fractional coordinates):
1 Tb 0.109 0.711 0.957
2 Tb 0.174 0.424 0.617
3 Tb 0.289 0.891 0.543
4 Tb 0.424 0.174 0.117
5 Tb 0.576 0.826 0.883
6 Tb 0.711 0.109 0.457
7 Tb 0.826 0.576 0.383
8 Tb 0.891 0.289 0.043
9 Y 0.416 0.584 0.250
10 Y 0.584 0.416 0.750
11 Ho 0.006 0.994 0.250
12 Ho 0.994 0.006 0.750

Density functional theory data (PBE) for a geometry-optimized Er8ZnRu2 structure.

ρ, g/cm3: 9.6
E above lowest polymorph, eV per formula unit: 0.00
Formation enthalpy at 0 K, eV/atom: -0.2598

Cell: 9.014 9.014 6.881 Å, 107.26 107.26 31.34°
Atoms (fractional coordinates):
1 Er 0.035 0.035 0.279
2 Er 0.201 0.201 0.815
3 Er 0.327 0.327 0.535
4 Er 0.403 0.403 0.032
5 Er 0.597 0.597 0.968
6 Er 0.673 0.673 0.465
7 Er 0.799 0.799 0.185
8 Er 0.965 0.965 0.721
9 Zn 0.500 0.500 0.500
10 Ru 0.186 0.186 0.202
11 Ru 0.814 0.814 0.798

Density functional theory data (PBE) for a geometry-optimized Ba3Sn2Sb2 structure.

ρ, g/cm3: 5.4
Electronic total energy, eV per atom: -3.923

Cell: 13.266 4.885 9.808 Å, 90.00 120.49 90.00°
Atoms (fractional coordinates):
1 Ba 0.000 0.000 0.000
2 Ba 0.167 0.000 0.620
3 Ba 0.333 0.500 0.380
4 Ba 0.500 0.500 0.000
5 Ba 0.667 0.500 0.620
6 Ba 0.833 0.000 0.380
7 Sn 0.209 0.500 0.895
8 Sn 0.291 0.000 0.105
9 Sn 0.709 0.000 0.895
10 Sn 0.791 0.500 0.105
11 Sb 0.042 0.500 0.300
12 Sb 0.458 0.000 0.700
13 Sb 0.542 0.000 0.300
14 Sb 0.958 0.500 0.700